Version P
! Tm8OsRh2, optimized geometry, DFT PBE; values from VASP
&SYSTEM
  ibrav = 0, nat = 11, ntyp = 3
/
ATOMIC_SPECIES
Tm 168.93 Tm.upf
Os 190.23 Os.upf
Rh 102.91 Rh.upf
CELL_PARAMETERS angstrom
4.087 -6.261 0.000
4.087 6.261 0.000
-1.946 0.000 5.480
ATOMIC_POSITIONS crystal
Tm 0.000 0.000 0.000
Tm 0.027 0.281 0.577
Tm 0.141 0.566 0.179
Tm 0.281 0.027 0.577
Tm 0.439 0.693 0.765
Tm 0.566 0.141 0.179
Tm 0.693 0.439 0.765
Tm 0.712 0.712 0.358
Os 0.354 0.354 0.336
Rh 0.052 0.674 0.680
Rh 0.674 0.052 0.680
! ρ (Mg/m³): 10.35


Version Q
! Tm8OsRh2, optimized geometry, DFT PBE; values from VASP
&SYSTEM
  ibrav = 0, nat = 11, ntyp = 3
/
ATOMIC_SPECIES
Tm 168.93 Tm.upf
Os 190.23 Os.upf
Rh 102.91 Rh.upf
CELL_PARAMETERS angstrom
8.466 -2.449 0.000
8.466 2.449 0.000
-2.045 0.000 6.394
ATOMIC_POSITIONS crystal
Tm 0.032 0.032 0.295
Tm 0.201 0.201 0.811
Tm 0.333 0.333 0.535
Tm 0.406 0.406 0.056
Tm 0.594 0.594 0.944
Tm 0.667 0.667 0.465
Tm 0.799 0.799 0.189
Tm 0.968 0.968 0.705
Os 0.500 0.500 0.500
Rh 0.187 0.187 0.201
Rh 0.813 0.813 0.799
! ρ (Mg/m³): 10.95


It is version P that is the least stable of them.


Version P
! TmZrOsRh, optimized geometry, DFT PBE; values from VASP
&SYSTEM
  ibrav = 0, nat = 4, ntyp = 4
/
ATOMIC_SPECIES
Tm 168.93 Tm.upf
Zr 91.22 Zr.upf
Os 190.23 Os.upf
Rh 102.91 Rh.upf
CELL_PARAMETERS angstrom
3.339 0.000 0.000
0.000 3.339 0.000
0.000 0.000 6.642
ATOMIC_POSITIONS crystal
Tm 0.000 0.000 0.000
Zr 0.000 0.000 0.503
Os 0.500 0.500 0.734
Rh 0.500 0.500 0.261
! ρ (Mg/m³): 12.41


Version Q
! TmZrOsRh, optimized geometry, DFT PBE; values from VASP
&SYSTEM
  ibrav = 0, nat = 4, ntyp = 4
/
ATOMIC_SPECIES
Tm 168.93 Tm.upf
Zr 91.22 Zr.upf
Os 190.23 Os.upf
Rh 102.91 Rh.upf
CELL_PARAMETERS angstrom
0.000 3.328 3.328
3.328 0.000 3.328
3.328 3.328 0.000
ATOMIC_POSITIONS crystal
Tm 0.000 0.000 0.000
Zr 0.500 0.500 0.500
Os 0.750 0.750 0.750
Rh 0.250 0.250 0.250
! ρ (Mg/m³): 12.46


It is version Q that is the least stable of them.


Version P
! UOsRh2, optimized geometry, DFT PBE; values from VASP
&SYSTEM
  ibrav = 0, nat = 4, ntyp = 3
/
ATOMIC_SPECIES
U 238.03 U.upf
Os 190.23 Os.upf
Rh 102.91 Rh.upf
CELL_PARAMETERS angstrom
2.252 1.300 3.847
-2.252 1.300 3.847
0.000 -2.601 3.847
ATOMIC_POSITIONS crystal
U 0.000 0.000 0.000
Os 0.500 0.500 0.500
Rh 0.268 0.268 0.268
Rh 0.732 0.732 0.732
! ρ (Mg/m³): 15.57


Version Q
! UOsRh2, optimized geometry, DFT PBE; values from VASP
&SYSTEM
  ibrav = 0, nat = 4, ntyp = 3
/
ATOMIC_SPECIES
U 238.03 U.upf
Os 190.23 Os.upf
Rh 102.91 Rh.upf
CELL_PARAMETERS angstrom
3.977 0.000 0.000
0.000 3.977 0.000
0.000 0.000 4.112
ATOMIC_POSITIONS crystal
U 0.000 0.000 0.000
Os 0.500 0.500 0.000
Rh 0.000 0.500 0.500
Rh 0.500 0.000 0.500
! ρ (Mg/m³): 16.19


It is version P that is the least stable of them.


Version P
! V2OsRh2, optimized geometry, DFT PBE; values from VASP
&SYSTEM
  ibrav = 0, nat = 10, ntyp = 3
/
ATOMIC_SPECIES
V 50.94 V.upf
Os 190.23 Os.upf
Rh 102.91 Rh.upf
CELL_PARAMETERS angstrom
7.173 0.000 0.000
0.000 7.173 0.000
0.000 0.000 2.755
ATOMIC_POSITIONS crystal
V 0.170 0.330 0.000
V 0.330 0.830 0.000
V 0.670 0.170 0.000
V 0.830 0.670 0.000
Os 0.000 0.000 0.500
Os 0.500 0.500 0.500
Rh 0.131 0.631 0.500
Rh 0.369 0.131 0.500
Rh 0.631 0.869 0.500
Rh 0.869 0.369 0.500
! ρ (Mg/m³): 11.67


Version Q
! V2OsRh2, optimized geometry, DFT PBE; values from VASP
&SYSTEM
  ibrav = 0, nat = 5, ntyp = 3
/
ATOMIC_SPECIES
V 50.94 V.upf
Os 190.23 Os.upf
Rh 102.91 Rh.upf
CELL_PARAMETERS angstrom
2.221 -3.700 0.000
2.221 3.700 0.000
0.000 0.000 4.770
ATOMIC_POSITIONS crystal
V 0.000 0.000 0.244
V 0.000 0.000 0.756
Os 0.500 0.500 0.500
Rh 0.329 0.671 0.000
Rh 0.671 0.329 0.000
! ρ (Mg/m³): 10.54


It is version Q that is the least stable of them.


Version P
! VOsRh3, optimized geometry, DFT PBE; values from VASP
&SYSTEM
  ibrav = 0, nat = 5, ntyp = 3
/
ATOMIC_SPECIES
V 50.94 V.upf
Os 190.23 Os.upf
Rh 102.91 Rh.upf
CELL_PARAMETERS angstrom
4.409 0.000 0.000
0.000 4.409 0.000
0.000 0.000 4.409
ATOMIC_POSITIONS crystal
V 0.000 0.000 0.000
Os 0.500 0.500 0.500
Rh 0.000 0.000 0.500
Rh 0.000 0.500 0.000
Rh 0.500 0.000 0.000
! ρ (Mg/m³): 10.65


Version Q
! VOsRh3, optimized geometry, DFT PBE; values from VASP
&SYSTEM
  ibrav = 0, nat = 10, ntyp = 3
/
ATOMIC_SPECIES
V 50.94 V.upf
Os 190.23 Os.upf
Rh 102.91 Rh.upf
CELL_PARAMETERS angstrom
2.332 -6.799 0.000
2.332 6.799 0.000
-1.558 0.000 4.411
ATOMIC_POSITIONS crystal
V 0.152 0.848 0.750
V 0.848 0.152 0.250
Os 0.351 0.649 0.750
Os 0.649 0.351 0.250
Rh 0.055 0.945 0.250
Rh 0.251 0.749 0.250
Rh 0.446 0.554 0.250
Rh 0.554 0.446 0.750
Rh 0.749 0.251 0.750
Rh 0.945 0.055 0.750
! ρ (Mg/m³): 13.06


It is version P that is the least stable of them.


Version P
! OsRh2W, optimized geometry, DFT PBE; values from VASP
&SYSTEM
  ibrav = 0, nat = 4, ntyp = 3
/
ATOMIC_SPECIES
Os 190.23 Os.upf
Rh 102.91 Rh.upf
W 183.84 W.upf
CELL_PARAMETERS angstrom
4.542 -1.363 0.000
4.542 1.363 0.000
-0.792 0.000 4.735
ATOMIC_POSITIONS crystal
Os 0.000 0.000 0.000
Rh 0.504 0.504 0.493
Rh 0.745 0.745 0.229
W 0.251 0.251 0.735
! ρ (Mg/m³): 16.42


Version Q
! OsRh2W, optimized geometry, DFT PBE; values from VASP
&SYSTEM
  ibrav = 0, nat = 4, ntyp = 3
/
ATOMIC_SPECIES
Os 190.23 Os.upf
Rh 102.91 Rh.upf
W 183.84 W.upf
CELL_PARAMETERS angstrom
3.317 0.000 0.000
0.000 3.317 0.000
0.000 0.000 5.446
ATOMIC_POSITIONS crystal
Os 0.000 0.000 0.000
Rh 0.500 0.500 0.249
Rh 0.500 0.500 0.751
W 0.000 0.000 0.500
! ρ (Mg/m³): 16.07


It is version Q that is the least stable of them.